# 1
Y2PaNiS5 after structural relaxation. Source: the Alexandria database, functional GGA-PBE.

The structure in POSCAR format:
```
Y2PaNiS5
1.0
3.7397 0.0000 0.0000
-1.8699 8.2670 0.0000
0.0000 0.0000 11.7434
Y Pa Ni S
4 2 2 10
Direct
0.8978 0.7957 0.8514
0.1149 0.2299 0.6942
0.1022 0.2043 0.3514
0.8851 0.7701 0.1942
0.8238 0.6477 0.5248
0.1762 0.3523 0.0248
0.5553 0.1107 0.9198
0.4447 0.8893 0.4198
0.3427 0.6855 0.0193
0.6819 0.3637 0.8553
0.4966 0.9931 0.7482
0.3059 0.6117 0.6958
0.9835 0.9669 0.5152
0.6573 0.3145 0.5193
0.3181 0.6363 0.3553
0.5034 0.0069 0.2482
0.6941 0.3883 0.1958
0.0165 0.0331 0.0152
```

Computed properties:
crystal system = orthorhombic
space-group type = Cmc2_1, No. 36

=====

# 2
PaNi15Sb4 after structural relaxation. Source: the Alexandria database, functional GGA-PBE.

The structure in POSCAR format:
```
PaNi15Sb4
1.0
-0.3272 3.5602 -1.2382
-2.2816 0.8022 2.9096
14.7437 4.9055 10.2091
Pa Ni Sb
1 15 4
Direct
0.0000 0.0000 0.0000
0.5000 0.5000 0.0000
0.5000 0.5000 0.2027
0.5000 0.5000 0.4008
0.5000 0.5000 0.5992
0.5000 0.5000 0.7973
0.5000 0.0000 0.1017
0.5000 0.0000 0.3023
0.5000 0.0000 0.5000
0.5000 0.0000 0.6977
0.5000 0.0000 0.8983
0.0000 0.5000 0.1017
0.0000 0.5000 0.3023
0.0000 0.5000 0.5000
0.0000 0.5000 0.6977
0.0000 0.5000 0.8983
0.0000 0.0000 0.2050
0.0000 0.0000 0.4012
0.0000 0.0000 0.5988
0.0000 0.0000 0.7950
```

Computed properties:
crystal system = tetragonal
space-group type = P4/mmm, No. 123

=====

no.,E_form (uncorrected) (eV/atom),V (A^3/atom)
1,-1.6309,20.17
2,-0.1920,13.31